[1]
Here is an optimized crystal structure of Ta4Mo2P3N3 from OQMD. Energies are from GGA-PBE.

Lattice parameters (Å, degrees): 5.469 5.469 12.418 102.87 102.87 60.13
Fractional positions:
Ta: 0.015 0.220 0.107
Ta: 0.153 0.299 0.394
Ta: 0.220 0.015 0.607
Ta: 0.299 0.153 0.894
Ta: 0.701 0.847 0.106
Ta: 0.780 0.985 0.393
Ta: 0.847 0.701 0.606
Ta: 0.985 0.780 0.893
Mo: 0.391 0.538 0.102
Mo: 0.462 0.609 0.398
Mo: 0.538 0.391 0.602
Mo: 0.609 0.462 0.898
P: 0.098 0.902 0.250
P: 0.262 0.417 0.745
P: 0.417 0.262 0.245
P: 0.583 0.738 0.755
P: 0.738 0.583 0.255
P: 0.902 0.098 0.750
N: 0.000 0.500 0.000
N: 0.135 0.681 0.501
N: 0.319 0.865 0.999
N: 0.500 0.000 0.500
N: 0.681 0.135 0.001
N: 0.865 0.319 0.499

Values from the calculation:
Space group: C2/c, No. 15
Calculated total energy: -235.18 eV per cell

[2]
Here is an optimized crystal structure of LuMgCd from OQMD. Energies are from GGA-PBE.

Lattice parameters (Å, degrees): 4.867 4.867 4.867 60.00 60.00 60.00
Fractional positions:
Lu: 0.000 0.000 0.000
Mg: 0.500 0.500 0.500
Cd: 0.250 0.250 0.250

Values from the calculation:
Space group: F-43m, No. 216
Calculated total energy: -6.82 eV per cell

[3]
Here is an optimized crystal structure of Co2MoOs from OQMD. Energies are from GGA-PBE.

Lattice parameters (Å, degrees): 4.208 5.278 5.278 120.18 90.00 90.00
Fractional positions:
Co: 0.250 0.068 0.395
Co: 0.250 0.079 0.921
Co: 0.750 0.395 0.068
Co: 0.750 0.921 0.079
Mo: 0.250 0.586 0.918
Mo: 0.750 0.918 0.586
Os: 0.250 0.568 0.398
Os: 0.750 0.398 0.568

Values from the calculation:
Space group: Ama2, No. 40
Calculated total energy: -72.77 eV per cell
Energy relative to the elements: -24.3 meV/atom
Distance to the lowest polymorph of the same formula: 24 meV per atom

[4]
Here is an optimized crystal structure of ErZnB from OQMD. Energies are from GGA-PBE.

Lattice parameters (Å, degrees): 4.363 4.363 4.363 60.00 60.00 60.00
Fractional positions:
Er: 0.000 0.000 0.000
Zn: 0.250 0.250 0.250
B: 0.750 0.750 0.750

Values from the calculation:
Space group: F-43m, No. 216
Calculated total energy: -10.28 eV per cell
Distance to the lowest polymorph of the same formula: 946 meV per atom

[5]
Here is an optimized crystal structure of HfAg2 from OQMD. Energies are from GGA-PBE.

Lattice parameters (Å, degrees): 5.455 5.455 5.455 60.00 60.00 60.00
Fractional positions:
Hf: 0.125 0.125 0.125
Hf: 0.875 0.875 0.875
Ag: 0.000 0.500 0.500
Ag: 0.500 0.000 0.500
Ag: 0.500 0.500 0.000
Ag: 0.500 0.500 0.500

Values from the calculation:
Space group: Fd-3m, No. 227
Calculated total energy: -29.93 eV per cell
Energy relative to the elements: 213.3 meV/atom

[6]
Here is an optimized crystal structure of NaTa2PbS4 from OQMD. Energies are from GGA-PBE.

Lattice parameters (Å, degrees): 3.377 3.377 15.782 90.00 90.00 120.00
Fractional positions:
Na: 0.000 0.000 0.000
Ta: 0.000 0.000 0.227
Ta: 0.000 0.000 0.773
Pb: 0.000 0.000 0.500
S: 0.333 0.667 0.675
S: 0.333 0.667 0.873
S: 0.667 0.333 0.127
S: 0.667 0.333 0.325

Values from the calculation:
Space group: P-3m1, No. 164
Calculated total energy: -53.18 eV per cell

[7]
Here is an optimized crystal structure of SrZnAs from OQMD. Energies are from GGA-PBE.

Lattice parameters (Å, degrees): 5.026 5.026 5.026 60.00 60.00 60.00
Fractional positions:
Sr: 0.000 0.000 0.000
Zn: 0.250 0.250 0.250
As: 0.750 0.750 0.750

Values from the calculation:
Space group: F-43m, No. 216
Calculated total energy: -8.05 eV per cell

[8]
Here is an optimized crystal structure of Hf3TlBi5 from OQMD. Energies are from GGA-PBE.

Lattice parameters (Å, degrees): 6.004 6.004 8.948 90.00 90.00 120.00
Fractional positions:
Hf: 0.000 0.500 0.000
Hf: 0.500 0.000 0.000
Hf: 0.500 0.500 0.000
Tl: 0.000 0.000 0.500
Bi: 0.000 0.000 0.000
Bi: 0.333 0.667 0.290
Bi: 0.333 0.667 0.710
Bi: 0.667 0.333 0.290
Bi: 0.667 0.333 0.710

Values from the calculation:
Space group: P6/mmm, No. 191
Calculated total energy: -53.05 eV per cell

[9]
Here is an optimized crystal structure of PmAlNO from OQMD. Energies are from GGA-PBE.

Lattice parameters (Å, degrees): 3.618 5.313 5.553 90.00 90.00 90.00
Fractional positions:
Pm: 0.000 0.224 0.000
Pm: 0.000 0.776 0.500
Al: 0.500 0.237 0.497
Al: 0.500 0.763 0.997
N: 0.500 0.003 0.749
N: 0.500 0.997 0.249
O: 0.000 0.324 0.493
O: 0.000 0.676 0.993

Values from the calculation:
Space group: Pmc2_1, No. 26
Calculated total energy: -58.56 eV per cell
Distance to the lowest polymorph of the same formula: 37 meV per atom

[10]
Here is an optimized crystal structure of Nd2Dy2In from OQMD. Energies are from GGA-PBE.

Lattice parameters (Å, degrees): 8.250 8.250 4.668 90.00 90.00 90.00
Fractional positions:
Nd: 0.154 0.346 0.000
Nd: 0.346 0.846 0.000
Nd: 0.654 0.154 0.000
Nd: 0.846 0.654 0.000
Dy: 0.148 0.648 0.500
Dy: 0.352 0.148 0.500
Dy: 0.648 0.852 0.500
Dy: 0.852 0.352 0.500
In: 0.000 0.000 0.500
In: 0.500 0.500 0.500

Values from the calculation:
Space group: P4/mbm, No. 127
Calculated total energy: -43.42 eV per cell

[11]
Here is an optimized crystal structure of Ac from OQMD. Energies are from GGA-PBE.

Lattice parameters (Å, degrees): 7.670 7.670 4.065 90.00 90.00 129.62
Fractional positions:
Ac: 0.136 0.864 0.979
Ac: 0.364 0.636 0.479
Ac: 0.636 0.364 0.521
Ac: 0.864 0.136 0.021

Values from the calculation:
Space group: Cmce, No. 64
Calculated total energy: -15.68 eV per cell
Energy relative to the elements: 187.0 meV/atom
Distance to the lowest polymorph of the same formula: 187 meV per atom

[12]
Here is an optimized crystal structure of LuCoC6N6 from OQMD. Energies are from GGA-PBE.

Lattice parameters (Å, degrees): 7.264 7.264 12.848 90.00 90.00 120.00
Fractional positions:
Lu: 0.333 0.667 0.250
Lu: 0.667 0.333 0.750
Co: 0.000 0.000 0.000
Co: 0.000 0.000 0.500
C: 0.120 0.239 0.084
C: 0.120 0.239 0.416
C: 0.120 0.880 0.084
C: 0.120 0.880 0.416
C: 0.239 0.120 0.584
C: 0.239 0.120 0.916
C: 0.761 0.880 0.084
C: 0.761 0.880 0.416
C: 0.880 0.120 0.584
C: 0.880 0.120 0.916
C: 0.880 0.761 0.584
C: 0.880 0.761 0.916
N: 0.194 0.388 0.138
N: 0.194 0.388 0.362
N: 0.194 0.806 0.138
N: 0.194 0.806 0.362
N: 0.388 0.194 0.638
N: 0.388 0.194 0.862
N: 0.612 0.806 0.138
N: 0.612 0.806 0.362
N: 0.806 0.194 0.638
N: 0.806 0.194 0.862
N: 0.806 0.612 0.638
N: 0.806 0.612 0.862

Values from the calculation:
Space group: P6_3/mmc, No. 194
Calculated total energy: -236.48 eV per cell

[13]
Here is an optimized crystal structure of Rb2TmTlF6 from OQMD. Energies are from GGA-PBE.

Lattice parameters (Å, degrees): 6.497 6.497 6.497 60.00 60.00 60.00
Fractional positions:
Rb: 0.250 0.250 0.250
Rb: 0.750 0.750 0.750
Tm: 0.000 0.000 0.000
Tl: 0.500 0.500 0.500
F: 0.228 0.228 0.772
F: 0.228 0.772 0.228
F: 0.228 0.772 0.772
F: 0.772 0.228 0.228
F: 0.772 0.228 0.772
F: 0.772 0.772 0.228

Values from the calculation:
Space group: Fm-3m, No. 225
Calculated total energy: -50.67 eV per cell

[14]
Here is an optimized crystal structure of Pr2P2IrOsO2 from OQMD. Energies are from GGA-PBE.

Lattice parameters (Å, degrees): 4.043 4.043 8.348 90.00 90.00 90.00
Fractional positions:
Pr: 0.000 0.500 0.145
Pr: 0.500 0.000 0.855
P: 0.000 0.500 0.647
P: 0.500 0.000 0.353
Ir: 0.000 0.000 0.500
Os: 0.500 0.500 0.500
O: 0.000 0.000 0.000
O: 0.500 0.500 0.000

Values from the calculation:
Space group: P-4m2, No. 115
Calculated total energy: -65.52 eV per cell

[15]
Here is an optimized crystal structure of YHoSn from OQMD. Energies are from GGA-PBE.

Lattice parameters (Å, degrees): 5.119 5.119 5.119 60.00 60.00 60.00
Fractional positions:
Y: 0.000 0.000 0.000
Ho: 0.500 0.500 0.500
Sn: 0.750 0.750 0.750

Values from the calculation:
Space group: F-43m, No. 216
Calculated total energy: -16.27 eV per cell
Distance to the lowest polymorph of the same formula: 0 meV per atom

[16]
Here is an optimized crystal structure of In3PtCl from OQMD. Energies are from GGA-PBE.

Lattice parameters (Å, degrees): 7.395 7.395 5.248 90.00 90.00 90.16
Fractional positions:
In: 0.000 0.000 0.000
In: 0.000 0.500 0.000
In: 0.232 0.768 0.500
In: 0.500 0.000 0.000
In: 0.500 0.500 0.000
In: 0.768 0.232 0.500
Pt: 0.252 0.748 0.000
Pt: 0.748 0.252 0.000
Cl: 0.203 0.203 0.500
Cl: 0.797 0.797 0.500

Values from the calculation:
Space group: Cmmm, No. 65
Calculated total energy: -38.04 eV per cell

[17]
Here is an optimized crystal structure of SrTbZn from OQMD. Energies are from GGA-PBE.

Lattice parameters (Å, degrees): 5.204 5.204 5.204 60.00 60.00 60.00
Fractional positions:
Sr: 0.000 0.000 0.000
Tb: 0.500 0.500 0.500
Zn: 0.250 0.250 0.250

Values from the calculation:
Space group: F-43m, No. 216
Calculated total energy: -7.17 eV per cell

[18]
Here is an optimized crystal structure of Rb4MgCdSn2 from OQMD. Energies are from GGA-PBE.

Lattice parameters (Å, degrees): 5.362 5.362 12.928 90.00 90.00 120.00
Fractional positions:
Rb: 0.000 0.000 0.162
Rb: 0.000 0.000 0.838
Rb: 0.333 0.667 0.337
Rb: 0.333 0.667 0.663
Mg: 0.667 0.333 0.500
Cd: 0.667 0.333 0.000
Sn: 0.000 0.000 0.500
Sn: 0.333 0.667 0.000

Values from the calculation:
Space group: P-6m2, No. 187
Calculated total energy: -15.33 eV per cell
Distance to the lowest polymorph of the same formula: 58 meV per atom

[19]
Here is an optimized crystal structure of TmAsN2O from OQMD. Energies are from GGA-PBE.

Lattice parameters (Å, degrees): 7.198 5.702 5.562 90.00 90.00 90.00
Fractional positions:
Tm: 0.000 0.181 0.000
Tm: 0.000 0.819 0.500
Tm: 0.500 0.193 0.898
Tm: 0.500 0.807 0.398
As: 0.247 0.334 0.441
As: 0.247 0.666 0.941
As: 0.753 0.334 0.441
As: 0.753 0.666 0.941
N: 0.000 0.194 0.414
N: 0.000 0.806 0.914
N: 0.207 0.392 0.781
N: 0.207 0.608 0.281
N: 0.500 0.367 0.534
N: 0.500 0.633 0.034
N: 0.793 0.392 0.781
N: 0.793 0.608 0.281
O: 0.300 0.103 0.204
O: 0.300 0.897 0.704
O: 0.700 0.103 0.204
O: 0.700 0.897 0.704

Values from the calculation:
Space group: Pmc2_1, No. 26
Calculated total energy: -141.85 eV per cell

[20]
Here is an optimized crystal structure of Ta2CoC from OQMD. Energies are from GGA-PBE.

Lattice parameters (Å, degrees): 5.330 5.330 13.303 101.78 101.78 59.86
Fractional positions:
Ta: 0.038 0.872 0.612
Ta: 0.128 0.962 0.888
Ta: 0.197 0.364 0.094
Ta: 0.300 0.471 0.406
Ta: 0.364 0.197 0.594
Ta: 0.471 0.300 0.906
Ta: 0.529 0.700 0.094
Ta: 0.636 0.803 0.406
Ta: 0.700 0.529 0.594
Ta: 0.803 0.636 0.906
Ta: 0.872 0.038 0.112
Ta: 0.962 0.128 0.388
Co: 0.085 0.344 0.750
Co: 0.344 0.085 0.250
Co: 0.484 0.516 0.250
Co: 0.516 0.484 0.750
Co: 0.656 0.915 0.750
Co: 0.915 0.656 0.250
C: 0.000 0.500 0.500
C: 0.161 0.677 0.000
C: 0.323 0.839 0.500
C: 0.500 0.000 0.000
C: 0.677 0.161 0.500
C: 0.839 0.323 0.000

Values from the calculation:
Space group: C2/c, No. 15
Calculated total energy: -247.36 eV per cell